Material: MgGa4Ag
Method: DFT, PBE-GGA
State: relaxed

Summary:
DFT total energy ... -2.757 eV per atom
ρ ... 5.95 Mg/m³
Formation energy from the elements ... 0.00 eV/atom

```
data_MgGa4Ag
_chemical_formula_sum 'Mg1 Ga4 Ag1'
_symmetry_space_group_name_H-M 'P 1'
_symmetry_Int_Tables_number 1
_symmetry_space_group_name_Hall 'P 1'
_cell_length_a 5.4531
_cell_length_b 5.4531
_cell_length_c 5.4531
_cell_angle_alpha 60.00
_cell_angle_beta 60.00
_cell_angle_gamma 60.00
loop_
_atom_site_label
_atom_site_type_symbol
_atom_site_fract_x
_atom_site_fract_y
_atom_site_fract_z
_atom_site_occupancy
Mg1 Mg 0.0000 0.0000 0.0000 1
Ga1 Ga 0.1254 0.6249 0.6249 1
Ga2 Ga 0.6249 0.1254 0.6249 1
Ga3 Ga 0.6249 0.6249 0.1254 1
Ga4 Ga 0.6249 0.6249 0.6249 1
Ag1 Ag 0.2500 0.2500 0.2500 1
```